Ca2VReO8 | PBE+U | optimized geometry

DFT total energy, eV per atom: -7.3343

Unit cell a=5.0557 b=6.1730 c=5.0687 alpha=90.00 beta=92.55 gamma=90.00
With the nearest neighbours (Å) after each atom.
Space group P2/m (No. 10)
One atom of each set of equivalent atoms:
1 Ca 0.0000 0.2467 0.0000 [2 per cell]  6 O 2.27-2.40
2 V 0.5000 0.0000 0.5000 [1 per cell]  2 O 1.77
3 Re 0.5000 0.5000 0.5000 [1 per cell]  6 O 1.86-1.93
4 O 0.2352 0.5000 0.2337 [2 per cell]  1 Re 1.86
5 O 0.2476 0.0000 0.2463 [2 per cell]  1 V 1.77
6 O 0.3272 0.2623 0.6710 [4 per cell]  1 Re 1.93, 1 V 2.05

CaVReO6 | PBE+U | optimized geometry

DFT total energy, eV per atom: -7.7843
D(E_F), states/eV/cell: 0.11

Unit cell a=4.8399 b=4.8399 c=9.4434 alpha=90.00 beta=90.00 gamma=90.00
With the nearest neighbours (Å) after each atom.
Space group P4_2nm (No. 102)
One atom of each set of equivalent atoms:
1 Ca 0.0000 0.0000 0.0000 [2 per cell]  6 O 2.24-2.36
2 V 0.0000 0.0000 0.6691 [2 per cell]  6 O 2.01-2.07
3 Re 0.0000 0.0000 0.3336 [2 per cell]  6 O 1.89-1.92
4 O 0.1727 0.1727 0.4936 [4 per cell]  1 Re 1.92, 1 V 2.04
5 O 0.2098 0.2098 0.1986 [4 per cell]  1 Re 1.92, 1 V 2.01
6 O 0.2255 0.2255 0.8154 [4 per cell]  1 Re 1.89, 1 V 2.07

The highest DFT total energy belongs to which entry? Ca2VReO8